{
  "formula": "BeMoPd",
  "functional": "GGA-PBE",
  "state": "optimized geometry",
  "dft_energy_ev_per_atom": -6.69,
  "crystal_system": "orthorhombic",
  "formation_energy_ev_per_atom": -0.105,
  "lattice": [[7.4427, 0.0000, 0.0000], [0.0000, 4.9601, 0.0000], [0.0000, 0.0000, 4.2923]],
  "species": ["Be", "Be", "Be", "Be", "Mo", "Mo", "Mo", "Mo", "Pd", "Pd", "Pd", "Pd"],
  "fractional_positions": [[0.6662, 0.2500, 0.0000], [0.8338, 0.7500, 0.5000], [0.3338, 0.7500, 0.0000], [0.1662, 0.2500, 0.5000], [0.0000, 0.0000, 0.0000], [0.5000, 0.5000, 0.5000], [0.5000, 0.0000, 0.5000], [0.0000, 0.5000, 0.0000], [0.3332, 0.2500, 0.0000], [0.1668, 0.7500, 0.5000], [0.6668, 0.7500, 0.0000], [0.8332, 0.2500, 0.5000]]
}